# CeDyO4 (PBE, optimized geometry)
# DOS(E_F): 5.51 states/eV/cell
# E_form (uncorrected): -2.97 eV per atom
# total DFT energy (no corrections): -8.028 eV per atom
data_CeDyO4
_chemical_formula_sum 'Ce1 Dy1 O4'
_cell_length_a 3.6076
_cell_length_b 5.1374
_cell_length_c 5.1374
_cell_angle_alpha 90.73
_cell_angle_beta 90.00
_cell_angle_gamma 90.00
_symmetry_space_group_name_H-M 'P 1'
_symmetry_Int_Tables_number 1
loop_
_symmetry_equiv_pos_as_xyz
'x,y,z'
loop_
_atom_site_label
_atom_site_type_symbol
_atom_site_fract_x
_atom_site_fract_y
_atom_site_fract_z
Ce1 Ce 0.0000 0.5000 0.5000
Dy1 Dy 0.5000 0.0000 0.0000
O1 O 0.0000 0.1942 0.1942
O2 O 0.0000 0.8058 0.8058
O3 O 0.5000 0.6885 0.3115
O4 O 0.5000 0.3115 0.6885